Record 1
DFT (GGA-PBE) results for crystalline KTcO3 at its relaxed geometry. Values from VASP.

Cell and atoms, written as Quantum ESPRESSO input:
```
&SYSTEM
  ibrav = 0, nat = 10, ntyp = 3
/
ATOMIC_SPECIES
O 16.00 O.upf
Tc 98.00 Tc.upf
K 39.10 K.upf
CELL_PARAMETERS angstrom
3.146 -1.816 0.000
0.000 3.633 0.000
0.000 0.000 13.797
ATOMIC_POSITIONS crystal
O 0.000 0.000 0.250
O 0.333 0.667 0.621
O 0.000 0.000 0.750
O 0.333 0.667 0.879
O 0.667 0.333 0.379
O 0.667 0.333 0.121
Tc 0.667 0.333 0.250
Tc 0.333 0.667 0.750
K 0.000 0.000 0.500
K 0.000 0.000 0.000
```

Properties
E_form (uncorrected) = -1.27 eV per atom
Symmetry = P6_3/mmc (194)

Record 2
DFT (GGA-PBE) results for crystalline CrTcPAu2 at its relaxed geometry. Values from VASP.

Cell and atoms, written as Quantum ESPRESSO input:
```
&SYSTEM
  ibrav = 0, nat = 5, ntyp = 4
/
ATOMIC_SPECIES
Au 196.97 Au.upf
Tc 98.00 Tc.upf
Cr 52.00 Cr.upf
P 30.97 P.upf
CELL_PARAMETERS angstrom
-4.440 -2.129 -0.437
1.788 -3.856 0.622
-0.700 0.461 4.872
ATOMIC_POSITIONS crystal
Au 0.500 0.000 0.000
Au 0.000 0.000 0.500
Tc 0.500 0.500 0.500
Cr 0.000 0.000 0.000
P 0.000 0.500 0.000
```

Properties
Formation energy = 1.09 eV/atom
Symmetry = P4/mmm (123)

Record 3
DFT (GGA-PBE) results for crystalline SrAg5Sn7 at its relaxed geometry. Values from VASP.

Cell and atoms, written as Quantum ESPRESSO input:
```
&SYSTEM
  ibrav = 0, nat = 13, ntyp = 3
/
ATOMIC_SPECIES
Sn 118.71 Sn.upf
Ag 107.87 Ag.upf
Sr 87.62 Sr.upf
CELL_PARAMETERS angstrom
-0.614 4.772 -3.549
-6.764 3.816 1.264
3.062 6.510 3.187
ATOMIC_POSITIONS crystal
Sn 0.647 0.353 0.353
Sn 0.274 0.226 0.226
Sn 0.507 0.797 0.188
Sn 0.507 0.188 0.797
Sn 0.994 0.659 0.352
Sn 0.345 0.655 0.655
Sn 0.994 0.352 0.659
Ag 0.724 0.776 0.776
Ag 0.500 0.504 0.993
Ag 0.002 0.504 0.993
Ag 0.002 0.993 0.504
Ag 0.500 0.993 0.504
Sr 0.000 0.000 0.000
```

Properties
Formation energy = -0.09 eV/atom
Symmetry = Imm2 (44)

For reference, VASP energy by record: -6.539 -5.305 -3.474 eV/atom.
For reference, total moment by record: 0.20 6.61 0.00 μB per formula unit.